A geometry-optimized Li2AcAu structure. Source: Alexandria, functional PBE.

## Properties
- E_tot (eV/atom) = -3.19
- density of states at the Fermi level (states/eV per cell) = 2.69
- E_form (meV per atom) = -390

Cell: 4.5798 4.5798 6.0069 Å, 67.59 67.59 60.00°
Last column: nearest neighbours and their distance in Å.
Sites, in units of the cell vectors:
Li: 0.0071 0.0071 0.9787  3 Au 2.67, 3 Li 2.73
Li: 0.2991 0.2991 0.1027  3 Li 2.73, 3 Au 2.85
Ac: 0.4955 0.4955 0.5136  4 Li 3.18-3.45, 4 Au 3.28-3.38
Au: 0.6983 0.6983 0.9051  6 Li 2.67-2.85



A geometry-optimized Li5Ac2Au3 structure. Source: Alexandria, functional PBE.

## Properties
- E_tot (eV/atom) = -3.23
- density of states at the Fermi level (states/eV per cell) = 13.00
- E_form (meV per atom) = -466

Cell: 6.2296 9.0874 9.0874 Å, 79.13 69.95 69.95°
Last column: nearest neighbours and their distance in Å.
Sites, in units of the cell vectors:
Li: 0.3669 0.2368 0.0293  3 Au 2.58-2.73, 2 Li 2.75
Li: 0.8669 0.0293 0.2368  3 Au 2.58-2.73, 2 Li 2.75
Li: 0.6331 0.7632 0.9707  3 Au 2.58-2.73, 2 Li 2.75
Li: 0.1331 0.9707 0.7632  3 Au 2.58-2.73, 2 Li 2.75
Li: 0.5363 0.7137 0.7137  2 Au 2.68, 3 Li 2.68-2.75
Li: 0.4637 0.2863 0.2863  2 Au 2.68, 3 Li 2.68-2.75
Li: 0.7500 0.5000 0.5000  2 Li 2.68, 4 Au 2.88
Li: 0.2500 0.5000 0.5000  2 Li 2.68, 4 Au 2.88
Li: 0.9637 0.2863 0.2863  2 Au 2.68, 3 Li 2.68-2.75
Li: 0.0363 0.7137 0.7137  2 Au 2.68, 3 Li 2.68-2.75
Ac: 0.1214 0.6500 0.1073  6 Au 3.29-3.43, 4 Li 3.44-3.64
Ac: 0.6214 0.1073 0.6500  6 Au 3.29-3.43, 4 Li 3.44-3.64
Ac: 0.8786 0.3500 0.8927  6 Au 3.29-3.43, 4 Li 3.44-3.64
Ac: 0.3786 0.8927 0.3500  6 Au 3.29-3.43, 4 Li 3.44-3.64
Au: 0.3761 0.4629 0.7848  5 Li 2.68-2.88
Au: 0.8761 0.7848 0.4629  5 Li 2.68-2.88
Au: 0.6239 0.5371 0.2152  5 Li 2.68-2.88
Au: 0.1239 0.2152 0.5371  5 Li 2.68-2.88
Au: 0.2500 0.0000 0.0000  4 Li 2.58
Au: 0.7500 0.0000 0.0000  4 Li 2.58



A geometry-optimized Li6Ac2Au3 structure. Source: Alexandria, functional PBE.

## Properties
- E_tot (eV/atom) = -3.12
- density of states at the Fermi level (states/eV per cell) = 7.12
- E_form (meV per atom) = -433

Cell: 4.2220 8.2829 8.2829 Å, 120.00 90.00 90.00°
Last column: nearest neighbours and their distance in Å.
Sites, in units of the cell vectors:
Li: 0.5000 0.7360 0.7360  3 Au 2.83-2.88, 4 Li 2.89
Li: 0.5000 0.0000 0.2640  3 Au 2.83-2.88, 4 Li 2.89
Li: 0.0000 0.2002 0.2002  2 Au 2.65, 6 Li 2.87-2.89
Li: 0.0000 0.7998 0.0000  2 Au 2.65, 6 Li 2.87-2.89
Li: 0.5000 0.2640 0.0000  3 Au 2.83-2.88, 4 Li 2.89
Li: 0.0000 0.0000 0.7998  2 Au 2.65, 6 Li 2.87-2.89
Ac: 0.0000 0.6667 0.3333  6 Au 3.31, 3 Li 3.45
Ac: 0.0000 0.3333 0.6667  6 Au 3.31, 3 Li 3.45
Au: 0.5000 0.3938 0.3938  5 Li 2.65-2.88
Au: 0.5000 0.6062 0.0000  5 Li 2.65-2.88
Au: 0.5000 0.0000 0.6062  5 Li 2.65-2.88



A geometry-optimized LiAc6Au5 structure. Source: Alexandria, functional PBE.

## Properties
- E_tot (eV/atom) = -4.23
- density of states at the Fermi level (states/eV per cell) = 6.32
- E_form (meV per atom) = -652

Cell: 5.4951 9.6662 9.6665 Å, 120.42 106.55 106.55°
Last column: nearest neighbours and their distance in Å.
Sites, in units of the cell vectors:
Ac: 0.2543 0.0831 0.4253  7 Au 3.33-3.62, 1 Li 3.50
Ac: 0.7457 0.5747 0.9169  7 Au 3.33-3.62, 1 Li 3.50
Ac: 0.7637 0.2634 0.2634  6 Au 3.21-3.40, 2 Li 3.44
Ac: 0.2363 0.7366 0.7366  6 Au 3.21-3.40, 2 Li 3.44
Ac: 0.2543 0.4253 0.0831  7 Au 3.33-3.62, 1 Li 3.50
Ac: 0.7457 0.9169 0.5747  7 Au 3.33-3.62, 1 Li 3.50
Au: 0.5000 0.1464 0.8536  6 Ac 3.21-3.43
Au: 0.0000 0.3302 0.6698  8 Ac 3.33-3.40
Au: 0.5000 0.5000 0.5000  8 Ac 3.32-3.46
Au: 0.0000 0.6698 0.3302  8 Ac 3.33-3.40
Au: 0.5000 0.8536 0.1464  6 Ac 3.21-3.43
Li: 0.0000 0.0000 0.0000  8 Ac 3.44-3.50, 4 Au 3.69



- Which formula does entry 4 have?
  LiAc6Au5